Entry from the Alexandria database: crystalline SrYGa3 at its relaxed geometry (GGA-PBE).

Cell: 4.5446 26.1523 4.2307 Å, 90.00 90.00 90.00°
With the nearest neighbours (Å) after each atom.
Space group Cmcm (No. 63)
Inequivalent atoms, fractional coordinates:
Sr1 0.0000 0.0748 0.2500  12 Ga 3.35-3.57
Y1 0.0000 0.2039 0.7500  7 Ga 3.03-3.17
Ga1 0.0000 0.3198 0.7500  2 Ga 2.59
Ga2 0.0000 0.3771 0.2500  3 Ga 2.55-2.59
Ga3 0.0000 0.4745 0.2500  3 Ga 2.50-2.55

ΔH_f (0 K) ... -255 kJ/mol of formula units
Electronic total energy ... -3.97 eV per atom

***

Entry from the Alexandria database: crystalline Sr3YGa at its relaxed geometry (GGA-PBE).

Cell: 6.1369 6.1369 6.1369 Å, 90.00 90.00 90.00°
With the nearest neighbours (Å) after each atom.
Space group Pm-3m (No. 221)
Inequivalent atoms, fractional coordinates:
Sr1 0.0000 0.0000 0.5000  2 Ga 3.07
Y1 0.5000 0.5000 0.5000  12 Sr 4.34
Ga1 0.0000 0.0000 0.0000  6 Sr 3.07

ΔH_f (0 K) ... 100 kJ/mol of formula units
Electronic total energy ... -2.70 eV per atom

***

Entry from the Alexandria database: crystalline SrYGa at its relaxed geometry (GGA-PBE).

Cell: 3.8430 3.8430 12.6437 Å, 90.00 90.00 90.00°
With the nearest neighbours (Å) after each atom.
Space group P4mm (No. 99)
Inequivalent atoms, fractional coordinates:
Sr1 0.0000 0.0000 0.0000  4 Ga 3.28
Sr2 0.0000 0.0000 0.3076  8 Ga 3.40-3.51, 1 Y 3.61
Y1 0.0000 0.0000 0.5933  4 Ga 3.05
Y2 0.5000 0.5000 0.7680  8 Y 3.50-3.84, 1 Ga 3.60
Ga1 0.5000 0.5000 0.1456  8 Sr 3.28-3.40
Ga2 0.5000 0.5000 0.4833  4 Y 3.05

ΔH_f (0 K) ... -68 kJ/mol of formula units
Electronic total energy ... -3.96 eV per atom

***

Question: What is the ΔH_f (0 K) in the first record?
Answer: -255 kJ/mol of formula units

***

Question: What is the ΔH_f (0 K) in the third record?
Answer: -68 kJ/mol of formula units

***

Question: Look up the electronic total energy of the first one.
Answer: -3.97 eV per atom